DFT (GGA-PBE) results for a relaxed structure of ThB4I.

a b c (Å): 4.632 4.632 5.427
angles (deg): 90.00 90.00 99.35
Positions (direct):
Th 0.000 0.000 0.000
B 0.125 0.125 0.500
B 0.388 0.612 0.000
B 0.612 0.388 0.000
B 0.875 0.875 0.500
I 0.500 0.500 0.500

Summary:
magnetization: 0.012 μB/atom
E: -28.52 eV per cell